{"formula": "ZrZn2SiBr", "functional": "PBE", "state": "optimized geometry", "final_energy_ev_per_atom": -2.65, "e_form_raw_ev_per_atom": 0.9878, "lattice": [[4.8261, 0.0000, 0.0000], [0.0000, 4.8261, 0.0000], [0.0000, 0.0000, 5.0084]], "species": ["Zr", "Zn", "Zn", "Si", "Br"], "frac_coords": [[0.0000, 0.0000, 0.0000], [0.0000, 0.5000, 0.5000], [0.5000, 0.0000, 0.5000], [0.5000, 0.5000, 0.0000], [0.5000, 0.5000, 0.5000]]}


{"formula": "ScRuRh2N", "functional": "PBE", "state": "optimized geometry", "final_energy_ev_per_atom": -7.91, "e_form_raw_ev_per_atom": -0.1860, "lattice": [[4.0220, 0.0000, 0.0000], [0.0000, 4.0220, 0.0000], [0.0000, 0.0000, 4.2913]], "species": ["Sc", "Ru", "Rh", "Rh", "N"], "frac_coords": [[0.0000, 0.0000, 0.0000], [0.5000, 0.5000, 0.0000], [0.0000, 0.5000, 0.5000], [0.5000, 0.0000, 0.5000], [0.0000, 0.0000, 0.5000]]}


{"formula": "LiTiPt2", "functional": "PBE", "state": "optimized geometry", "formation_enthalpy_0k_ev_per_atom": -0.87, "final_energy_ev_per_atom": -6.34, "lattice": [[-2.0344, 2.0344, 3.4917], [2.0344, -2.0344, 3.4917], [2.0344, 2.0344, -3.4917]], "species": ["Li", "Ti", "Pt", "Pt"], "frac_coords": [[0.0000, 0.0000, 0.0000], [0.5000, 0.5000, 0.0000], [0.2500, 0.7500, 0.5000], [0.7500, 0.2500, 0.5000]]}


{"formula": "InCuAs2", "functional": "PBE", "state": "optimized geometry", "formation_enthalpy_0k_ev_per_atom": 0.34, "final_energy_ev_per_atom": -3.69, "lattice": [[4.3521, 0.0000, 0.0000], [0.0000, 4.3521, 0.0000], [0.0000, 0.0000, 4.0862]], "species": ["In", "Cu", "As", "As"], "frac_coords": [[0.0000, 0.0000, 0.0000], [0.5000, 0.5000, 0.0000], [0.0000, 0.5000, 0.5000], [0.5000, 0.0000, 0.5000]]}


{"formula": "Pr8ZnIr3I4", "functional": "PBE", "state": "optimized geometry", "final_energy_ev_per_atom": -5.37, "e_form_raw_ev_per_atom": -0.8522, "lattice": [[4.2834, 2.4730, 8.1634], [-4.2834, 2.4730, 8.1634], [0.0000, -4.9460, 8.1634]], "species": ["Pr", "Pr", "Pr", "Pr", "Pr", "Pr", "Pr", "Pr", "Zn", "Ir", "Ir", "Ir", "I", "I", "I", "I"], "frac_coords": [[0.2143, 0.7362, 0.7362], [0.2292, 0.2292, 0.2292], [0.2638, 0.2638, 0.7857], [0.2638, 0.7857, 0.2638], [0.7362, 0.2143, 0.7362], [0.7362, 0.7362, 0.2143], [0.7708, 0.7708, 0.7708], [0.7857, 0.2638, 0.2638], [0.5000, 0.5000, 0.5000], [0.0000, 0.0000, 0.5000], [0.0000, 0.5000, 0.0000], [0.5000, 0.0000, 0.0000], [0.0000, 0.0000, 0.0000], [0.0000, 0.5000, 0.5000], [0.5000, 0.0000, 0.5000], [0.5000, 0.5000, 0.0000]]}


{"formula": "TeRu2Se", "functional": "PBE", "state": "optimized geometry", "final_energy_ev_per_atom": -5.94, "e_form_raw_ev_per_atom": 0.3530, "lattice": [[-1.5791, 2.2525, 5.1531], [1.5791, -2.2525, 5.1531], [1.5791, 2.2525, -5.1531]], "species": ["Te", "Ru", "Ru", "Se"], "frac_coords": [[0.0000, 0.0000, 0.0000], [0.2131, 0.7131, 0.5000], [0.5326, 0.5326, 0.0000], [0.7220, 0.2220, 0.5000]]}


{"formula": "LiGePt2", "functional": "PBE", "state": "optimized geometry", "formation_enthalpy_0k_ev_per_atom": -0.61, "final_energy_ev_per_atom": -5.27, "lattice": [[3.9858, 0.0000, 0.0000], [0.0000, 3.9858, 0.0000], [0.0000, 0.0000, 3.5854]], "species": ["Li", "Ge", "Pt", "Pt"], "frac_coords": [[0.0000, 0.0000, 0.0000], [0.5000, 0.5000, 0.0000], [0.0000, 0.5000, 0.5000], [0.5000, 0.0000, 0.5000]]}


{"formula": "Al2PbBr", "functional": "PBE", "state": "optimized geometry", "final_energy_ev_per_atom": -2.95, "e_form_raw_ev_per_atom": 0.2714, "lattice": [[-3.1410, 3.1410, 6.9886], [3.1410, -3.1410, 6.9886], [3.1410, 3.1410, -6.9886]], "species": ["Al", "Al", "Al", "Al", "Pb", "Pb", "Br", "Br"], "frac_coords": [[0.1135, 0.6250, 0.9885], [0.3750, 0.3635, 0.4885], [0.6365, 0.1250, 0.0115], [0.8750, 0.8865, 0.5115], [0.0000, 0.0000, 0.0000], [0.7500, 0.2500, 0.5000], [0.2500, 0.7500, 0.5000], [0.5000, 0.5000, 0.0000]]}


{"formula": "Na3LiHf3S8", "functional": "PBE", "state": "optimized geometry", "final_energy_ev_per_atom": -6.04, "e_form_raw_ev_per_atom": -1.4565, "lattice": [[3.7165, 2.1457, 6.6875], [-3.7165, 2.1457, 6.6875], [0.0000, -4.2914, 6.6875]], "species": ["Na", "Na", "Na", "Li", "Hf", "Hf", "Hf", "S", "S", "S", "S", "S", "S", "S", "S"], "frac_coords": [[0.0000, 0.5000, 0.5000], [0.5000, 0.0000, 0.5000], [0.5000, 0.5000, 0.0000], [0.5000, 0.5000, 0.5000], [0.0000, 0.0000, 0.5000], [0.0000, 0.5000, 0.0000], [0.5000, 0.0000, 0.0000], [0.2245, 0.7427, 0.7427], [0.2403, 0.2403, 0.2403], [0.2573, 0.2573, 0.7755], [0.2573, 0.7755, 0.2573], [0.7427, 0.2245, 0.7427], [0.7427, 0.7427, 0.2245], [0.7597, 0.7597, 0.7597], [0.7755, 0.2573, 0.2573]]}


{"formula": "Ga3ReTc", "functional": "PBE", "state": "optimized geometry", "formation_enthalpy_0k_ev_per_atom": 0.98, "final_energy_ev_per_atom": -5.40, "lattice": [[4.7828, 0.0000, 0.0000], [0.0000, 4.7828, 0.0000], [0.0000, 0.0000, 4.7828]], "species": ["Ga", "Ga", "Ga", "Re", "Tc"], "frac_coords": [[0.0000, 0.0000, 0.5000], [0.0000, 0.5000, 0.0000], [0.5000, 0.0000, 0.0000], [0.0000, 0.0000, 0.0000], [0.5000, 0.5000, 0.5000]]}


{"formula": "RbInRuPt2", "functional": "PBE", "state": "optimized geometry", "formation_enthalpy_0k_ev_per_atom": 1.00, "final_energy_ev_per_atom": -4.01, "lattice": [[5.1348, 0.0000, 0.0000], [0.0000, 5.1348, 0.0000], [0.0000, 0.0000, 5.1061]], "species": ["Rb", "In", "Ru", "Pt", "Pt"], "frac_coords": [[0.0000, 0.0000, 0.0000], [0.5000, 0.5000, 0.5000], [0.5000, 0.5000, 0.0000], [0.0000, 0.5000, 0.5000], [0.5000, 0.0000, 0.5000]]}


{"formula": "TbCeCS", "functional": "PBE", "state": "optimized geometry", "final_energy_ev_per_atom": -7.18, "e_form_raw_ev_per_atom": -1.2010, "lattice": [[1.8860, 1.0889, 6.4091], [-1.8860, 1.0889, 6.4091], [0.0000, -2.1778, 6.4091]], "species": ["Tb", "Ce", "C", "S"], "frac_coords": [[0.0000, 0.0000, 0.0000], [0.5227, 0.5227, 0.5227], [0.2575, 0.2575, 0.2575], [0.7579, 0.7579, 0.7579]]}